(1)
This record from Alexandria describes Sm4Te2PPb after structural relaxation. The functional is PBE.

Lattice parameters (Å, degrees): 7.5941 4.3608 7.6631 90.00 109.08 90.00
Last column: nearest neighbours and their distance in Å.
Space group P2/m (No. 10)
One atom of each set of equivalent atoms:
1 Sm 0.2276 0.0000 0.2219  2 P 2.95, 1 Pb 3.08, 3 Te 3.15-3.27
2 Sm 0.2418 0.5000 0.7668  1 P 2.95, 2 Pb 3.08, 3 Te 3.14-3.26
3 Te 0.0000 0.0000 0.5000  6 Sm 3.14-3.15
4 Te 0.5000 0.5000 0.5000  6 Sm 3.26-3.27
5 P 0.0000 0.5000 0.0000  6 Sm 2.95
6 Pb 0.5000 0.0000 0.0000  6 Sm 3.08

Values from the calculation:
Formation energy from raw total energies = -1.257 eV/atom
Crystal system = monoclinic
V = 239.8 Å³/cell
Calculated density = 7.58 Mg/m³

(2)
This record from Alexandria describes NaAc4S5 after structural relaxation. The functional is PBE.

Lattice parameters (Å, degrees): 4.3203 4.3203 51.9542 90.00 90.00 120.00
Last column: nearest neighbours and their distance in Å.
Space group R-3m (No. 166, hexagonal axes)
One atom of each set of equivalent atoms:
1 Na 0.0000 0.0000 0.0000  6 S 3.04
2 Ac 0.0000 0.0000 0.2002  6 S 3.04-3.07
3 Ac 0.0000 0.0000 0.3982  6 S 2.98-3.06
4 S 0.0000 0.0000 0.0989  6 Ac 3.06-3.07
5 S 0.0000 0.0000 0.2998  3 Ac 2.98, 3 Na 3.04
6 S 0.0000 0.0000 0.5000  6 Ac 3.04

Values from the calculation:
Formation energy from raw total energies = -1.922 eV/atom
Crystal system = trigonal
V = 839.8 Å³/cell
Calculated density = 6.47 Mg/m³

(3)
This record from Alexandria describes MnInB2 after structural relaxation. The functional is PBE.

Lattice parameters (Å, degrees): 3.7488 3.7488 14.5791 90.00 90.00 90.00
Last column: nearest neighbours and their distance in Å.
Space group I4_1/amd (No. 141, origin choice 2)
One atom of each set of equivalent atoms:
1 Mn 0.0000 0.2500 0.3750  4 B 2.05
2 In 0.0000 0.2500 0.8750  4 Mn 2.65, 8 B 2.78
3 B 0.0000 0.0000 0.5000  2 B 1.87, 2 Mn 2.05

Values from the calculation:
E_form = 0.454 eV per atom
Crystal system = tetragonal
V = 204.9 Å³/cell
Calculated density = 6.20 Mg/m³

(4)
This record from Alexandria describes Nd2SmGa after structural relaxation. The functional is PBE.

Lattice parameters (Å, degrees): 4.2464 12.1440 9.4753 90.00 90.00 90.00
Last column: nearest neighbours and their distance in Å.
Space group Cmcm (No. 63)
One atom of each set of equivalent atoms:
1 Nd 0.0000 0.1416 0.0544  3 Ga 3.14
2 Sm 0.0000 0.4391 0.2500  2 Ga 3.08
3 Ga 0.0000 0.2444 0.7500  2 Sm 3.08, 6 Nd 3.14

Values from the calculation:
E_form = -0.238 eV per atom
E above lowest polymorph = 5 meV per atom
Crystal system = orthorhombic
V = 488.6 Å³/cell
Calculated density = 6.91 Mg/m³

(5)
This record from Alexandria describes SrAcMgRh after structural relaxation. The functional is PBE.

Lattice parameters (Å, degrees): 7.7195 7.7195 7.7195 90.00 90.00 90.00
Last column: nearest neighbours and their distance in Å.
Space group F-43m (No. 216)
One atom of each set of equivalent atoms:
1 Sr 0.0000 0.0000 0.0000  4 Rh 3.34, 4 Mg 3.34
2 Ac 0.0000 0.0000 0.5000  4 Mg 3.34, 4 Rh 3.34
3 Mg 0.2500 0.2500 0.7500  4 Ac 3.34, 4 Sr 3.34
4 Rh 0.2500 0.2500 0.2500  4 Ac 3.34, 4 Sr 3.34

Values from the calculation:
E_form = -0.116 eV per atom
Crystal system = cubic
V = 460.0 Å³/cell
Calculated density = 6.38 Mg/m³

(6)
This record from Alexandria describes Ac2LaSn3Pd6 after structural relaxation. The functional is PBE.

Lattice parameters (Å, degrees): 4.2555 4.2555 17.7603 90.00 90.00 90.00
Last column: nearest neighbours and their distance in Å.
Space group P4/mmm (No. 123)
One atom of each set of equivalent atoms:
1 Ac 0.0000 0.0000 0.1774  4 Pd 3.07
2 La 0.0000 0.0000 0.5000  8 Pd 2.98
3 Sn 0.5000 0.5000 0.0000  2 Pd 2.55
4 Sn 0.5000 0.5000 0.2938  5 Pd 2.65-2.67
5 Pd 0.0000 0.5000 0.3825  2 Sn 2.65
6 Pd 0.5000 0.5000 0.1436  2 Sn 2.55-2.67

Values from the calculation:
E_form = -0.560 eV per atom
Crystal system = tetragonal
V = 321.6 Å³/cell
Calculated density = 8.20 Mg/m³

- What is the calculated density in the second record?
  6.47 Mg/m³